Entry 1:
Below is crystalline Dy6ErZr at its relaxed geometry, with properties calculated at the GGA-PBE level.

Properties
E_tot = -4.8472 eV/atom
Total magnetic moment = 0.00 Bohr magnetons per cell
Formation energy = 0.2433 eV/atom

Cell: 6.372 6.642 6.694 Å, 117.23 92.24 101.16°
Space group P-1 (No. 2)
Unique sites:
Dy: 0.225 0.466 0.404 (multiplicity 2)
Dy: 0.244 0.991 0.942 (multiplicity 2)
Dy: 0.255 0.490 0.906 (multiplicity 2)
Er: 0.500 0.000 0.500 (multiplicity 1)
Zr: 0.000 0.000 0.500 (multiplicity 1)

---

Entry 2:
Below is crystalline Dy3Er4Zr at its relaxed geometry, with properties calculated at the GGA-PBE level.

Properties
E_tot = -5.0354 eV/atom
Total magnetic moment = 0.00 Bohr magnetons per cell
Formation energy = 0.0404 eV/atom

Cell: 23.278 3.485 6.065 Å, 90.00 105.08 90.00°
Space group C2/m (No. 12)
Unique sites:
Dy: 0.000 0.000 0.000 (multiplicity 2)
Dy: 0.123 0.500 0.295 (multiplicity 4)
Er: 0.121 0.000 0.783 (multiplicity 4)
Er: 0.249 0.000 0.250 (multiplicity 4)
Zr: 0.000 0.500 0.500 (multiplicity 2)

---

Entry 3:
Below is crystalline DyErZr2 at its relaxed geometry, with properties calculated at the GGA-PBE level.

Properties
E_tot = -6.3494 eV/atom
Total magnetic moment = 0.00 Bohr magnetons per cell
E above lowest polymorph = 140 meV per atom
Formation energy = 0.2159 eV/atom

Cell: 3.925 3.925 6.837 Å, 90.00 90.00 90.00°
Space group P4/mmm (No. 123)
Unique sites:
Dy: 0.000 0.000 0.000 (multiplicity 1)
Er: 0.000 0.000 0.500 (multiplicity 1)
Zr: 0.500 0.500 0.270 (multiplicity 2)

---

Entry 4:
Below is crystalline Dy2Er6Zr at its relaxed geometry, with properties calculated at the GGA-PBE level.

Properties
E_tot = -4.9388 eV/atom
Total magnetic moment = 0.00 Bohr magnetons per cell
E above lowest polymorph = 0 meV per atom
Formation energy = 0.0756 eV/atom

Cell: 6.496 8.181 11.172 Å, 102.31 101.76 103.93°
Space group P-1 (No. 2)
Unique sites:
Dy: 0.225 0.182 0.055 (multiplicity 2)
Dy: 0.253 0.851 0.810 (multiplicity 2)
Er: 0.046 0.300 0.500 (multiplicity 2)
Er: 0.093 0.942 0.303 (multiplicity 2)
Er: 0.195 0.534 0.278 (multiplicity 2)
Er: 0.293 0.760 0.075 (multiplicity 2)
Er: 0.329 0.436 0.824 (multiplicity 2)
Er: 0.485 0.692 0.596 (multiplicity 2)
Zr: 0.397 0.082 0.614 (multiplicity 2)

---

Entry 5:
Below is crystalline Dy6Er4Zr at its relaxed geometry, with properties calculated at the GGA-PBE level.

Properties
E_tot = -4.7911 eV/atom
Total magnetic moment = 2.35 Bohr magnetons per cell
Formation energy = 0.1555 eV/atom

Cell: 8.690 8.690 8.855 Å, 90.00 90.00 90.00°
Space group P4/mnc (No. 128)
Unique sites:
Dy: 0.000 0.000 0.175 (multiplicity 4)
Dy: 0.151 0.346 0.500 (multiplicity 8)
Er: 0.146 0.646 0.250 (multiplicity 8)
Zr: 0.000 0.000 0.500 (multiplicity 2)

---

Entry 6:
Below is crystalline DyErZr2 at its relaxed geometry, with properties calculated at the GGA-PBE level.

Properties
E_tot = -6.4894 eV/atom
Total magnetic moment = 0.00 Bohr magnetons per cell
E above lowest polymorph = 0 meV per atom
Formation energy = 0.0759 eV/atom

Cell: 3.366 5.905 11.269 Å, 74.99 81.44 89.93°
Space group P-1 (No. 2)
Unique sites:
Dy: 0.000 0.000 0.000 (multiplicity 1)
Dy: 0.500 0.500 0.000 (multiplicity 1)
Er: 0.132 0.462 0.737 (multiplicity 2)
Zr: 0.248 0.229 0.505 (multiplicity 2)
Zr: 0.367 0.043 0.263 (multiplicity 2)

---

Entry 7:
Below is crystalline Dy2Er6Zr at its relaxed geometry, with properties calculated at the GGA-PBE level.

Properties
E_tot = -4.6547 eV/atom
Total magnetic moment = 0.00 Bohr magnetons per cell
E above lowest polymorph = 284 meV per atom
Formation energy = 0.3597 eV/atom

Cell: 7.2548 7.2548 18.7025 Å, 90.00 90.00 120.00°
Space group R3m (No. 160, hexagonal axes)
Unique sites:
Dy: 0.0000 0.0000 0.0000 (multiplicity 3)
Dy: 0.0000 0.0000 0.1747 (multiplicity 3)
Er: 0.1698 0.3396 0.3249 (multiplicity 9)
Er: 0.1879 0.3759 0.5187 (multiplicity 9)
Zr: 0.0000 0.0000 0.4436 (multiplicity 3)

---

Entry 8:
Below is crystalline Dy2Er3Zr at its relaxed geometry, with properties calculated at the GGA-PBE level.

Properties
E_tot = -5.0634 eV/atom
Total magnetic moment = 0.00 Bohr magnetons per cell
Formation energy = 0.1767 eV/atom

Cell: 17.133 3.358 13.852 Å, 90.00 116.34 90.00°
Space group C2/m (No. 12)
Unique sites:
Dy: 0.149 0.000 0.468 (multiplicity 4)
Dy: 0.178 0.500 0.877 (multiplicity 4)
Er: 0.034 0.500 0.219 (multiplicity 4)
Er: 0.099 0.000 0.030 (multiplicity 4)
Er: 0.247 0.000 0.297 (multiplicity 4)
Zr: 0.066 0.000 0.647 (multiplicity 4)